1.
{"formula": "Ba2Hg3BiAu12", "functional": "GGA-PBE", "state": "relaxed", "mass_density_g_cm3": 10.57, "dft_energy_ry_per_atom": -0.1980, "cell": [[4.5261, 2.6131, 7.6340], [-4.5261, 2.6131, 7.6340], [0.0000, -5.2263, 7.6340]], "species": ["Ba", "Ba", "Hg", "Hg", "Hg", "Bi", "Au", "Au", "Au", "Au", "Au", "Au", "Au", "Au", "Au", "Au", "Au", "Au"], "fractional_positions": [[0.1080, 0.1080, 0.1080], [0.8920, 0.8920, 0.8920], [0.0000, 0.5000, 0.5000], [0.5000, 0.0000, 0.5000], [0.5000, 0.5000, 0.0000], [0.5000, 0.5000, 0.5000], [0.1299, 0.6363, 0.6363], [0.1460, 0.1460, 0.4969], [0.1460, 0.4969, 0.1460], [0.3637, 0.3637, 0.8701], [0.3637, 0.8701, 0.3637], [0.4969, 0.1460, 0.1460], [0.5031, 0.8540, 0.8540], [0.6363, 0.1299, 0.6363], [0.6363, 0.6363, 0.1299], [0.8540, 0.5031, 0.8540], [0.8540, 0.8540, 0.5031], [0.8701, 0.3637, 0.3637]]}

***

2.
{"formula": "Ba2HgBiAu", "functional": "GGA-PBE", "state": "relaxed", "mass_density_g_cm3": 7.14, "dft_energy_ry_per_atom": -0.2042, "cell": [[6.2359, 0.0000, 0.0000], [0.0000, 6.2359, 0.0000], [0.0000, 0.0000, 5.2712]], "species": ["Ba", "Ba", "Hg", "Bi", "Au"], "fractional_positions": [[0.0000, 0.5000, 0.0000], [0.5000, 0.0000, 0.0000], [0.0000, 0.0000, 0.5000], [0.5000, 0.5000, 0.5000], [0.0000, 0.0000, 0.0000]]}

***

3.
{"formula": "Ba2HgBi4Au3", "functional": "GGA-PBE", "state": "relaxed", "mass_density_g_cm3": 10.22, "dft_energy_ry_per_atom": -0.2518, "cell": [[5.1436, 0.0000, 0.0000], [0.0000, 5.1436, 0.0000], [0.0000, 0.0000, 11.6791]], "species": ["Ba", "Ba", "Hg", "Bi", "Bi", "Bi", "Bi", "Au", "Au", "Au"], "fractional_positions": [[0.0000, 0.5000, 0.2413], [0.5000, 0.0000, 0.7587], [0.5000, 0.5000, 0.0000], [0.0000, 0.0000, 0.5000], [0.0000, 0.5000, 0.8671], [0.5000, 0.0000, 0.1329], [0.5000, 0.5000, 0.5000], [0.0000, 0.0000, 0.0000], [0.0000, 0.5000, 0.6264], [0.5000, 0.0000, 0.3736]]}

***

no.,formation energy (meV per atom)
1,-30
2,-517
3,-476